Entry 1:
MgOs: relaxed, PBE-GGA.

Geometry as POSCAR:
```
MgOs
1.0
4.3842 0.0000 0.0000
-2.1921 3.7968 0.0000
0.0000 0.0000 4.8156
Os Mg
2 2
Direct
0.0000 0.0000 0.0000
0.0000 0.0000 0.5000
0.3333 0.6667 0.2500
0.6667 0.3333 0.7500
```

For the final energy, the calculation gives -22.8 eV for the cell shown. Its symmetry is P6_3/mmc, No. 194.

***

Entry 2:
LaHoNiRh: relaxed, PBE-GGA.

Geometry as POSCAR:
```
LaHoNiRh
1.0
-1.5725 -4.6768 0.0988
0.1664 -2.5708 4.2093
-4.1811 -1.1482 2.3570
La Ni Ho Rh
1 1 1 1
Direct
0.7500 0.7500 0.7500
0.0000 0.0000 0.0000
0.2500 0.2500 0.2500
0.5000 0.5000 0.5000
```

For the final energy, the calculation gives -24.7 eV for the cell shown. Its symmetry is F-43m, No. 216. The calculation puts the distance to the lowest polymorph of the same formula at 0.307 eV per formula unit.

***

Entry 3:
LaScBi2: relaxed, PBE-GGA.

Geometry as POSCAR:
```
LaScBi2
1.0
8.4319 0.0000 0.0000
0.0000 8.4319 0.0000
4.2160 4.2160 3.5418
Bi La Sc
4 2 2
Direct
0.6022 0.1250 0.2500
0.3750 0.3978 0.7500
0.1478 0.6250 0.2500
0.8750 0.8522 0.7500
0.7500 0.2500 0.5000
0.0000 0.0000 0.0000
0.2500 0.7500 0.5000
0.5000 0.5000 0.0000
```

For the final energy, the calculation gives -42.8 eV for the cell shown. Its symmetry is I-42d, No. 122. The calculation puts the distance to the lowest polymorph of the same formula at 0.966 eV per formula unit.